Entry 1:
Below is a relaxed structure of ErLuZrSc, with properties calculated at the GGA-PBE level.

Computed properties:
Theoretical density, g/cm³: 7.48
Final energy, eV/atom: -5.82
Crystal system: cubic
ΔH_f (0 K), meV per atom: 175

Cell lengths 7.518, 7.518, 7.518 Å; angles 90.00, 90.00, 90.00 degrees
Element x y z (fractional)
Er 0.000 0.000 0.000
Er 0.000 0.500 0.500
Er 0.500 0.000 0.500
Er 0.500 0.500 0.000
Lu 0.250 0.250 0.750
Lu 0.250 0.750 0.250
Lu 0.750 0.250 0.250
Lu 0.750 0.750 0.750
Zr 0.000 0.000 0.500
Zr 0.000 0.500 0.000
Zr 0.500 0.000 0.000
Zr 0.500 0.500 0.500
Sc 0.250 0.250 0.250
Sc 0.250 0.750 0.750
Sc 0.750 0.250 0.750
Sc 0.750 0.750 0.250

Entry 2:
Below is a relaxed structure of MnCu2Pt, with properties calculated at the GGA-PBE level.

Computed properties:
Theoretical density, g/cm³: 11.42
Final energy, eV/atom: -5.89
Crystal system: monoclinic
ΔH_f (0 K), meV per atom: -43

Cell lengths 2.688, 4.453, 4.588 Å; angles 90.00, 93.01, 90.00 degrees
Element x y z (fractional)
Mn 0.000 0.000 0.000
Cu 0.250 0.500 0.755
Cu 0.750 0.500 0.245
Pt 0.500 0.000 0.500

Entry 3:
Below is a relaxed structure of TeSe, with properties calculated at the GGA-PBE level.

Computed properties:
Theoretical density, g/cm³: 6.27
Final energy, eV/atom: -3.22
Crystal system: trigonal

Cell lengths 4.341, 4.341, 20.123 Å; angles 90.00, 90.00, 120.00 degrees
Element x y z (fractional)
Te 0.000 0.000 0.121
Te 0.000 0.000 0.879
Te 0.333 0.667 0.546
Te 0.333 0.667 0.787
Te 0.667 0.333 0.213
Te 0.667 0.333 0.454
Se 0.000 0.000 0.372
Se 0.000 0.000 0.628
Se 0.333 0.667 0.038
Se 0.333 0.667 0.295
Se 0.667 0.333 0.705
Se 0.667 0.333 0.962

Entry 4:
Below is a relaxed structure of BSbI2O, with properties calculated at the GGA-PBE level.

Computed properties:
Theoretical density, g/cm³: 4.44
Final energy, eV/atom: -2.73
Crystal system: tetragonal
Energy relative to the lowest polymorph listed for this composition, meV per atom: 893

Cell lengths 6.113, 6.113, 4.031 Å; angles 90.00, 90.00, 90.00 degrees
Element x y z (fractional)
B 0.000 0.000 0.000
Sb 0.500 0.500 0.000
I 0.000 0.500 0.500
I 0.500 0.000 0.500
O 0.500 0.500 0.500

Entry 5:
Below is a relaxed structure of LaThCuAg, with properties calculated at the GGA-PBE level.

Computed properties:
Theoretical density, g/cm³: 8.84
Final energy, eV/atom: -4.89
Crystal system: cubic
ΔH_f (0 K), meV per atom: -62

Cell lengths 7.413, 7.413, 7.413 Å; angles 90.00, 90.00, 90.00 degrees
Element x y z (fractional)
La 0.000 0.000 0.000
La 0.000 0.500 0.500
La 0.500 0.000 0.500
La 0.500 0.500 0.000
Th 0.000 0.000 0.500
Th 0.000 0.500 0.000
Th 0.500 0.000 0.000
Th 0.500 0.500 0.500
Cu 0.250 0.250 0.250
Cu 0.250 0.750 0.750
Cu 0.750 0.250 0.750
Cu 0.750 0.750 0.250
Ag 0.250 0.250 0.750
Ag 0.250 0.750 0.250
Ag 0.750 0.250 0.250
Ag 0.750 0.750 0.750

Entry 6:
Below is a relaxed structure of Nb3Zn2Ni4, with properties calculated at the GGA-PBE level.

Computed properties:
Theoretical density, g/cm³: 8.60
Final energy, eV/atom: -6.42
Crystal system: orthorhombic
ΔH_f (0 K), meV per atom: -211

Cell lengths 7.405, 7.405, 5.261 Å; angles 90.00, 90.00, 120.37 degrees
Element x y z (fractional)
Nb 0.000 0.000 0.250
Nb 0.000 0.000 0.750
Nb 0.344 0.656 0.250
Nb 0.344 0.656 0.750
Nb 0.656 0.344 0.250
Nb 0.656 0.344 0.750
Zn 0.007 0.670 0.000
Zn 0.330 0.993 0.500
Zn 0.670 0.007 0.500
Zn 0.993 0.330 0.000
Ni 0.002 0.667 0.500
Ni 0.327 0.330 0.000
Ni 0.330 0.327 0.500
Ni 0.333 0.998 0.000
Ni 0.667 0.002 0.000
Ni 0.670 0.673 0.500
Ni 0.673 0.670 0.000
Ni 0.998 0.333 0.500

Entry 7:
Below is a relaxed structure of LiZr2VSi, with properties calculated at the GGA-PBE level.

Computed properties:
Theoretical density, g/cm³: 4.25
Final energy, eV/atom: -6.09
Crystal system: tetragonal

Cell lengths 5.010, 5.010, 4.181 Å; angles 90.00, 90.00, 90.00 degrees
Element x y z (fractional)
Li 0.000 0.000 0.000
Zr 0.000 0.500 0.500
Zr 0.500 0.000 0.500
V 0.500 0.500 0.000
Si 0.000 0.000 0.500

Entry 8:
Below is a relaxed structure of KAlInW2, with properties calculated at the GGA-PBE level.

Computed properties:
Theoretical density, g/cm³: 7.48
Final energy, eV/atom: -4.85
Crystal system: tetragonal
ΔH_f (0 K), meV per atom: 1843

Cell lengths 4.762, 4.762, 5.372 Å; angles 90.00, 90.00, 90.00 degrees
Element x y z (fractional)
K 0.000 0.000 0.000
Al 0.000 0.000 0.500
In 0.500 0.500 0.000
W 0.000 0.500 0.500
W 0.500 0.000 0.500

Entry 9:
Below is a relaxed structure of LiEuY, with properties calculated at the GGA-PBE level.

Computed properties:
Theoretical density, g/cm³: 4.41
Final energy, eV/atom: -6.10
Crystal system: tetragonal
Energy relative to the lowest polymorph listed for this composition, meV per atom: 0
ΔH_f (0 K), meV per atom: 117

Cell lengths 3.791, 3.791, 12.982 Å; angles 90.00, 90.00, 90.00 degrees
Element x y z (fractional)
Li 0.000 0.000 0.000
Li 0.500 0.500 0.500
Eu 0.000 0.000 0.341
Eu 0.500 0.500 0.841
Y 0.000 0.000 0.640
Y 0.500 0.500 0.140

Entry 10:
Below is a relaxed structure of Sc2ReTc, with properties calculated at the GGA-PBE level.

Computed properties:
Theoretical density, g/cm³: 9.14
Final energy, eV/atom: -8.88
Crystal system: orthorhombic
Energy relative to the lowest polymorph listed for this composition, meV per atom: 150
ΔH_f (0 K), meV per atom: -9

Cell lengths 3.250, 4.737, 8.825 Å; angles 90.00, 90.00, 90.00 degrees
Element x y z (fractional)
Sc 0.000 0.000 0.246
Sc 0.000 0.000 0.754
Sc 0.500 0.500 0.246
Sc 0.500 0.500 0.754
Re 0.000 0.500 0.500
Re 0.500 0.000 0.500
Tc 0.000 0.500 0.000
Tc 0.500 0.000 0.000